(1)
# LaYMo2

An optimized crystal structure of LaYMo2 (GGA-PBE, Alexandria).

a b c (Å): 4.9333 3.0683 6.4774
angles (deg): 91.39 90.00 90.00
Fractional coordinates of all 4 atoms:
La: 0.5000 0.7500 0.7500
Mo: 0.0000 0.8298 0.0726
Mo: 0.0000 0.6702 0.4274
Y: 0.5000 0.2500 0.2500

Computed properties:
* formation energy from the elements: 0.5693 eV per atom
* total energy: -7.694 eV per atom

***

(2)
# CdCuCl3

An optimized crystal structure of CdCuCl3 (GGA-PBE, Alexandria).

a b c (Å): 5.1601 5.1601 5.1601
angles (deg): 90.00 90.00 90.00
Fractional coordinates of all 5 atoms:
Cl: 0.0000 0.5000 0.0000
Cl: 0.5000 0.0000 0.0000
Cl: 0.0000 0.0000 0.5000
Cd: 0.0000 0.0000 0.0000
Cu: 0.5000 0.5000 0.5000

Computed properties:
* raw formation energy: -0.255 eV per atom
* total energy: -2.365 eV per atom

***

(3)
# Tb4BiTe

An optimized crystal structure of Tb4BiTe (GGA-PBE, Alexandria).

a b c (Å): 6.5371 7.3854 8.9697
angles (deg): 102.21 111.33 89.95
Fractional coordinates of all 12 atoms:
Tb: 0.7552 0.3708 0.7053
Tb: 0.6734 0.4464 0.1586
Tb: 0.4848 0.9467 0.1585
Tb: 0.0489 0.1286 0.2943
Tb: 0.3266 0.5536 0.8414
Tb: 0.9511 0.8714 0.7057
Tb: 0.2448 0.6292 0.2947
Tb: 0.5152 0.0533 0.8415
Te: 0.0000 0.5000 0.5000
Te: 0.5000 0.0000 0.5000
Bi: 0.1455 0.2503 0.0001
Bi: 0.8545 0.7497 0.9999

Computed properties:
* raw formation energy: -0.468 eV per atom
* total energy: -4.726 eV per atom

***

(4)
# CeDy2Sc3As6

An optimized crystal structure of CeDy2Sc3As6 (GGA-PBE, Alexandria).

a b c (Å): 6.9671 6.9671 6.9342
angles (deg): 99.65 99.65 119.98
Each line ends with the local moment (μB).
Fractional coordinates of all 12 atoms:
As: 0.5770 0.9113 0.7337  -0.01
As: 0.4230 0.0887 0.2663  -0.01
As: 0.2459 0.2459 0.7352  -0.01
As: 0.9113 0.5770 0.7337  -0.01
As: 0.0887 0.4230 0.2663  -0.01
As: 0.7541 0.7541 0.2648  -0.01
Sc: 0.1664 0.8336 0.5000  0.01
Sc: 0.8336 0.1664 0.5000  0.01
Sc: 0.5000 0.5000 0.5000  0.00
Dy: 0.6666 0.3334 0.0000  0.00
Dy: 0.3334 0.6666 0.0000  0.00
Ce: 0.0000 0.0000 0.0000  0.36

Computed properties:
* formation energy from the elements: -1.4287 eV per atom
* total energy: -6.598 eV per atom

***

(5)
# SrIn9Cu2

An optimized crystal structure of SrIn9Cu2 (GGA-PBE, Alexandria).

a b c (Å): 7.4389 9.7786 9.7786
angles (deg): 81.68 67.64 67.64
Fractional coordinates of all 24 atoms:
In: 0.6725 0.5624 0.1927
In: 0.0000 0.0000 0.0000
In: 0.0775 0.3073 0.9376
In: 0.6725 0.1927 0.5624
In: 0.3224 0.0624 0.6927
In: 0.7500 0.5000 0.5000
In: 0.1348 0.4376 0.1927
In: 0.6152 0.3073 0.0624
In: 0.7651 0.5624 0.8073
In: 0.9849 0.9376 0.6927
In: 0.7651 0.8073 0.5624
In: 0.6152 0.0624 0.3073
In: 0.9849 0.6927 0.9376
In: 0.4276 0.4376 0.8073
In: 0.3224 0.6927 0.0624
In: 0.4276 0.8073 0.4376
In: 0.1348 0.1927 0.4376
In: 0.0775 0.9376 0.3073
Cu: 0.8750 0.7500 0.2500
Cu: 0.8750 0.2500 0.7500
Cu: 0.8750 0.2500 0.2500
Cu: 0.3750 0.7500 0.7500
Sr: 0.2500 0.5000 0.5000
Sr: 0.5000 0.0000 0.0000

Computed properties:
* formation energy from the elements: -0.0349 eV per atom
* total energy: -2.912 eV per atom

***

(6)
# ZrReRu2

An optimized crystal structure of ZrReRu2 (GGA-PBE, Alexandria).

a b c (Å): 4.4975 4.4975 4.4975
angles (deg): 60.00 60.00 60.00
Each line ends with the local moment (μB).
Fractional coordinates of all 4 atoms:
Re: 0.5000 0.5000 0.5000  -0.01
Zr: 0.7500 0.7500 0.7500  -0.03
Ru: 0.0000 0.0000 0.0000  0.62
Ru: 0.2500 0.2500 0.2500  0.72

Computed properties:
* formation energy from the elements: 0.1385 eV per atom
* total energy: -9.748 eV per atom

***

(7)
# MgNbCl

An optimized crystal structure of MgNbCl (GGA-PBE, Alexandria).

a b c (Å): 3.3014 4.7710 9.6547
angles (deg): 84.51 81.76 70.02
Fractional coordinates of all 6 atoms:
Mg: 0.1701 0.8590 0.7821
Mg: 0.8299 0.1410 0.2179
Cl: 0.4385 0.7878 0.3381
Cl: 0.5615 0.2122 0.6619
Nb: 0.5801 0.7140 0.0413
Nb: 0.4199 0.2860 0.9587

Computed properties:
* raw formation energy: -0.419 eV per atom
* total energy: -4.922 eV per atom

***

(8)
# NbCu2Pb2O6

An optimized crystal structure of NbCu2Pb2O6 (GGA-PBE, Alexandria).

a b c (Å): 5.9997 5.9997 6.2115
angles (deg): 61.12 61.12 60.00
Each line ends with the local moment (μB).
Fractional coordinates of all 11 atoms:
Cu: 0.5850 0.5850 0.2450  0.33
Cu: 0.4150 0.4150 0.7550  0.33
Nb: 0.0000 0.0000 0.0000  -0.03
O: 0.2337 0.2337 0.7506  0.07
O: 0.2337 0.7820 0.7506  0.07
O: 0.7663 0.2180 0.2494  0.07
O: 0.7820 0.2337 0.7506  0.07
O: 0.7663 0.7663 0.2494  0.07
O: 0.2180 0.7663 0.2494  0.07
Pb: 0.2080 0.2080 0.3761  0.00
Pb: 0.7920 0.7920 0.6239  0.00

Computed properties:
* raw formation energy: -1.263 eV per atom
* total energy: -6.302 eV per atom

***

(9)
# Al4CrAs

An optimized crystal structure of Al4CrAs (GGA-PBE, Alexandria).

a b c (Å): 5.1899 5.1899 5.1899
angles (deg): 60.00 60.00 60.00
Each line ends with the local moment (μB).
Fractional coordinates of all 6 atoms:
Al: 0.6258 0.6258 0.1226  -0.05
Al: 0.6258 0.6258 0.6258  -0.05
Al: 0.1226 0.6258 0.6258  -0.05
Al: 0.6258 0.1226 0.6258  -0.05
Cr: 0.0000 0.0000 0.0000  2.53
As: 0.2500 0.2500 0.2500  -0.07

Computed properties:
* formation energy from the elements: 0.2731 eV per atom
* total energy: -4.601 eV per atom

***

(10)
# Y3Ni

An optimized crystal structure of Y3Ni (GGA-PBE, Alexandria).

a b c (Å): 5.0970 5.0970 3.9321
angles (deg): 90.00 90.00 90.05
Fractional coordinates of all 4 atoms:
Ni: 0.0000 0.0000 0.0000
Y: 0.5000 0.0000 0.5000
Y: 0.0000 0.5000 0.5000
Y: 0.5000 0.5000 0.0000

Computed properties:
* formation energy from the elements: 0.1399 eV per atom
* total energy: -6.153 eV per atom

***

(11)
# Ce6ThAl3

An optimized crystal structure of Ce6ThAl3 (GGA-PBE, Alexandria).

a b c (Å): 8.3291 8.3291 8.3291
angles (deg): 80.35 80.35 80.35
Each line ends with the local moment (μB).
Fractional coordinates of all 20 atoms:
Ce: 0.1522 0.5362 0.4528  0.27
Ce: 0.3136 0.9191 0.2439  0.57
Ce: 0.4528 0.1522 0.5362  0.27
Ce: 0.7561 0.6864 0.0809  0.57
Ce: 0.5362 0.4528 0.1522  0.27
Ce: 0.2439 0.3136 0.9191  0.57
Ce: 0.5472 0.8478 0.4638  0.27
Ce: 0.6864 0.0809 0.7561  0.57
Ce: 0.9191 0.2439 0.3136  0.57
Ce: 0.0809 0.7561 0.6864  0.57
Ce: 0.8478 0.4638 0.5472  0.27
Ce: 0.4638 0.5472 0.8478  0.27
Al: 0.6386 0.0822 0.1517  0.00
Al: 0.8483 0.3614 0.9178  0.00
Al: 0.1517 0.6386 0.0822  0.00
Al: 0.9178 0.8483 0.3614  0.00
Al: 0.3614 0.9178 0.8483  0.00
Al: 0.0822 0.1517 0.6386  0.00
Th: 0.0000 0.0000 0.0000  0.07
Th: 0.5000 0.5000 0.5000  0.05

Computed properties:
* formation energy from the elements: 0.0946 eV per atom
* total energy: -5.330 eV per atom

***

(12)
# SmGdEr2

An optimized crystal structure of SmGdEr2 (GGA-PBE, Alexandria).

a b c (Å): 3.5623 3.5623 10.0158
angles (deg): 90.00 90.00 90.00
Each line ends with the local moment (μB).
Fractional coordinates of all 4 atoms:
Sm: 0.5000 0.5000 0.5000  -0.01
Er: 0.0000 0.0000 0.2493  -0.03
Er: 0.0000 0.0000 0.7507  -0.03
Gd: 0.5000 0.5000 0.0000  7.15

Computed properties:
* formation energy from the elements: 0.0256 eV per atom
* total energy: -6.956 eV per atom